Record 1
# PmPrSb (PBE, relaxed)
data_PmPrSb
_chemical_formula_sum 'Pm1 Pr1 Sb1'
_cell_length_a 5.249
_cell_length_b 5.249
_cell_length_c 5.249
_cell_angle_alpha 60.00
_cell_angle_beta 60.00
_cell_angle_gamma 60.00
_symmetry_space_group_name_H-M 'P 1'
_symmetry_Int_Tables_number 1
_symmetry_space_group_name_Hall 'P 1'
loop_
_atom_site_label
_atom_site_fract_x
_atom_site_fract_y
_atom_site_fract_z
Pr1 0.000 0.000 0.000
Pm1 0.500 0.500 0.500
Sb1 0.250 0.250 0.250
# SG   F-43m, No. 216
# Total magnetization   0.000 μB per atom
# Energy relative to the lowest polymorph listed for this composition   201 meV per atom

Record 2
# Pm4PrSb5 (PBE, relaxed)
data_Pm4PrSb5
_chemical_formula_sum 'Pm4 Pr1 Sb5'
_cell_length_a 4.510
_cell_length_b 6.367
_cell_length_c 11.915
_cell_angle_alpha 105.50
_cell_angle_beta 100.91
_cell_angle_gamma 90.00
_symmetry_space_group_name_H-M 'P 1'
_symmetry_Int_Tables_number 1
_symmetry_space_group_name_Hall 'P 1'
loop_
_atom_site_label
_atom_site_fract_x
_atom_site_fract_y
_atom_site_fract_z
Pm1 0.799 0.799 0.599
Pr1 0.000 0.000 0.000
Sb1 0.399 0.899 0.797
Pm2 0.201 0.201 0.401
Sb2 0.200 0.700 0.399
Pm3 0.400 0.400 0.800
Sb3 0.601 0.101 0.203
Sb4 0.000 0.500 0.000
Pm4 0.600 0.600 0.200
Sb5 0.800 0.300 0.601
# SG   Immm, No. 71
# Total magnetization   0.000 μB per atom
# Calculated total energy   -5.628 eV per atom

Record 3
# PmPr3Sb2 (PBE, relaxed)
data_PmPr3Sb2
_chemical_formula_sum 'Pm1 Pr3 Sb2'
_cell_length_a 4.622
_cell_length_b 4.622
_cell_length_c 8.922
_cell_angle_alpha 90.00
_cell_angle_beta 90.00
_cell_angle_gamma 90.00
_symmetry_space_group_name_H-M 'P 1'
_symmetry_Int_Tables_number 1
_symmetry_space_group_name_Hall 'P 1'
loop_
_atom_site_label
_atom_site_fract_x
_atom_site_fract_y
_atom_site_fract_z
Sb1 0.000 0.500 0.277
Pr1 0.000 0.500 0.644
Pr2 0.000 0.000 0.000
Sb2 0.500 0.000 0.723
Pr3 0.500 0.000 0.356
Pm1 0.500 0.500 0.000
# SG   P-4m2, No. 115
# Total magnetization   0.000 μB per atom
# Energy relative to the lowest polymorph listed for this composition   0 meV per atom

Record 4
# Pm2PrSb (PBE, relaxed)
data_Pm2PrSb
_chemical_formula_sum 'Pm4 Pr2 Sb2'
_cell_length_a 4.190
_cell_length_b 6.544
_cell_length_c 10.083
_cell_angle_alpha 90.00
_cell_angle_beta 90.00
_cell_angle_gamma 108.67
_symmetry_space_group_name_H-M 'P 1'
_symmetry_Int_Tables_number 1
_symmetry_space_group_name_Hall 'P 1'
loop_
_atom_site_label
_atom_site_fract_x
_atom_site_fract_y
_atom_site_fract_z
Sb1 0.764 0.529 0.750
Pr1 0.941 0.881 0.250
Pm1 0.639 0.278 0.459
Pm2 0.361 0.722 0.959
Pm3 0.361 0.722 0.541
Pr2 0.059 0.119 0.750
Sb2 0.236 0.471 0.250
Pm4 0.639 0.278 0.041
# SG   Cmcm, No. 63
# Total magnetization   0.117 μB per atom
# Energy relative to the lowest polymorph listed for this composition   0 meV per atom

Record 5
# Pm2PrSb (PBE, relaxed)
data_Pm2PrSb
_chemical_formula_sum 'Pm2 Pr1 Sb1'
_cell_length_a 4.116
_cell_length_b 4.116
_cell_length_c 10.003
_cell_angle_alpha 78.13
_cell_angle_beta 78.13
_cell_angle_gamma 60.00
_symmetry_space_group_name_H-M 'P 1'
_symmetry_Int_Tables_number 1
_symmetry_space_group_name_Hall 'P 1'
loop_
_atom_site_label
_atom_site_fract_x
_atom_site_fract_y
_atom_site_fract_z
Pm1 0.266 0.266 0.202
Pr1 0.500 0.500 0.499
Sb1 0.666 0.666 0.001
Pm2 0.067 0.067 0.798
# SG   R3m, No. 160
# Total magnetization   0.036 μB per atom
# Energy relative to the lowest polymorph listed for this composition   195 meV per atom

Record 6
# Pm5Pr3Sb8 (PBE, relaxed)
data_Pm5Pr3Sb8
_chemical_formula_sum 'Pm5 Pr3 Sb8'
_cell_length_a 9.035
_cell_length_b 9.035
_cell_length_c 9.036
_cell_angle_alpha 60.01
_cell_angle_beta 60.01
_cell_angle_gamma 60.00
_symmetry_space_group_name_H-M 'P 1'
_symmetry_Int_Tables_number 1
_symmetry_space_group_name_Hall 'P 1'
loop_
_atom_site_label
_atom_site_fract_x
_atom_site_fract_y
_atom_site_fract_z
Pm1 0.000 0.500 0.000
Pr1 0.000 0.000 0.500
Sb1 0.253 0.750 0.247
Sb2 0.749 0.749 0.754
Sb3 0.250 0.747 0.753
Sb4 0.747 0.250 0.753
Pm2 0.000 0.000 0.000
Sb5 0.750 0.253 0.247
Pm3 0.500 0.500 0.500
Pr2 0.000 0.500 0.500
Pm4 0.500 0.500 0.000
Sb6 0.251 0.251 0.246
Pr3 0.500 0.000 0.500
Sb7 0.250 0.250 0.753
Sb8 0.750 0.750 0.247
Pm5 0.500 0.000 0.000
# SG   R-3m, No. 166
# Total magnetization   0.000 μB per atom
# Calculated total energy   -5.630 eV per atom